Below is an optimized crystal structure of HoMgTi2O6, with properties calculated at the GGA-PBE level.

Properties
Calculated density (g/cm³): 5.788
Space-group type: No. 31
Formation energy without anion corrections (kJ/mol of atoms): -295
DOS(E_F) (states/eV per cell): 6.07
Magnetization (μB per formula unit): 0.95

a b c (Å): 7.6074 5.4862 5.2372
angles (deg): 90.00 90.00 90.00
Atoms (fractional coordinates):
Ho 0.0000 0.1806 0.0000
Ho 0.5000 0.8194 0.5000
Mg 0.0000 0.6984 0.4720
Mg 0.5000 0.3016 0.9720
Ti 0.2504 0.2585 0.4858
Ti 0.2496 0.7415 0.9858
Ti 0.7496 0.2585 0.4858
Ti 0.7504 0.7415 0.9858
O 0.0000 0.3056 0.5926
O 0.0000 0.7876 0.8559
O 0.1884 0.9405 0.3000
O 0.1888 0.4477 0.1773
O 0.3112 0.5523 0.6773
O 0.3116 0.0595 0.8000
O 0.5000 0.2124 0.3559
O 0.5000 0.6944 0.0926
O 0.6884 0.0595 0.8000
O 0.6888 0.5523 0.6773
O 0.8112 0.4477 0.1773
O 0.8116 0.9405 0.3000